[1]
Here is Nd3Dy2Tl3 after structural relaxation from Alexandria. Energies are from PBE.

The uncorrected energy is -65.53 eV for the cell shown. The formation energy comes out at -2.2 eV per formula unit.

It has space group Immm (No. 71), with a = 4.461 Å, b = 5.082 Å, c = 21.211 Å, α = 90.00°, β = 90.00° and γ = 90.00°. The asymmetric unit holds Nd at (0.000, 0.000, 0.000), Nd at (0.000, 0.500, 0.120), Dy at (0.000, 0.000, 0.237), Tl at (0.000, 0.000, 0.500) and Tl at (0.000, 0.500, 0.370).


[2]
Here is Ca2DyErTe4 after structural relaxation from Alexandria. Energies are from PBE.

The uncorrected energy is -37.23 eV for the cell shown. The uncorrected formation energy comes out at -11.495 eV/f.u.

It has space group P2/m (No. 10), with a = 7.586 Å, b = 4.383 Å, c = 7.739 Å, α = 90.00°, β = 109.14° and γ = 90.00°. The asymmetric unit holds Ca at (0.000, 0.000, 0.000), Ca at (0.500, 0.500, 0.000), Dy at (0.000, 0.500, 0.500), Er at (0.500, 0.000, 0.500), Te at (0.250, 0.000, 0.744) and Te at (0.254, 0.500, 0.257).


[3]
Here is CsNa5P2 after structural relaxation from Alexandria. Energies are from PBE.

The uncorrected energy is -41.27 eV for the cell shown. The formation energy comes out at -2.4 eV per formula unit.

It has space group Immm (No. 71), with a = 4.941 Å, b = 8.721 Å, c = 11.721 Å, α = 90.00°, β = 90.00° and γ = 90.00°. The asymmetric unit holds Cs at (0.000, 0.000, 0.000), Na at (0.000, 0.177, 0.304), Na at (0.000, 0.500, 0.000) and P at (0.000, 0.500, 0.237).


[4]
Here is CeSn2Pd6 after structural relaxation from Alexandria. Energies are from PBE.

The uncorrected energy is -47.51 eV for the cell shown. The formation energy comes out at -2.4 eV per formula unit.

It has space group P-31m (No. 162), with a = 4.9200 Å, b = 4.9200 Å, c = 9.0672 Å, α = 90.00°, β = 90.00° and γ = 120.00°. The asymmetric unit holds Ce at (0.0000, 0.0000, 0.0000), Sn at (0.3333, 0.6667, 0.5000) and Pd at (0.0000, 0.3395, 0.7603).


[5]
Here is HgTe3C after structural relaxation from Alexandria. Energies are from PBE.

The uncorrected energy is -8.93 eV for the cell shown. The uncorrected formation energy comes out at 10.018 eV/f.u.

It has space group Pm-3m (No. 221), with a = 5.636 Å, b = 5.636 Å, c = 5.636 Å, α = 90.00°, β = 90.00° and γ = 90.00°. The asymmetric unit holds Hg at (0.000, 0.000, 0.000), Te at (0.000, 0.000, 0.500) and C at (0.500, 0.500, 0.500).


[6]
Here is LaErPuSn after structural relaxation from Alexandria. Energies are from PBE.

The uncorrected energy is -113.46 eV for the cell shown. The formation energy comes out at -0.5 eV per formula unit.

It has space group F-43m (No. 216), with a = 7.779 Å, b = 7.779 Å, c = 7.779 Å, α = 90.00°, β = 90.00° and γ = 90.00°. The asymmetric unit holds La at (0.000, 0.000, 0.000), Er at (0.250, 0.250, 0.250), Pu at (0.000, 0.000, 0.500) and Sn at (0.250, 0.250, 0.750).


[7]
Here is ScTeH2Br after structural relaxation from Alexandria. Energies are from PBE.

The uncorrected energy is -17.99 eV for the cell shown.

It has space group P4/mmm (No. 123), with a = 4.204 Å, b = 4.204 Å, c = 5.519 Å, α = 90.00°, β = 90.00° and γ = 90.00°. The asymmetric unit holds Sc at (0.000, 0.000, 0.000), Te at (0.500, 0.500, 0.500), H at (0.000, 0.500, 0.000) and Br at (0.000, 0.000, 0.500).


[8]
Here is YZrAs2 after structural relaxation from Alexandria. Energies are from PBE.

The uncorrected energy is -111.11 eV for the cell shown. The formation energy comes out at -3.5 eV per formula unit.

It has space group Fm-3m (No. 225), with a = 6.953 Å, b = 6.953 Å, c = 6.953 Å, α = 90.00°, β = 90.00° and γ = 90.00°. The asymmetric unit holds Y at (0.000, 0.000, 0.000), Zr at (0.000, 0.000, 0.500) and As at (0.250, 0.250, 0.250).


no.,DOS(E_F) (states/eV/atom),size of the total moment (Bohr magnetons per cell)
1,1.104,0.4
2,0.456,0.0
3,0.249,0.0
4,0.560,0.3
5,1.455,0.8
6,2.970,28.6
7,0.379,0.0
8,0.903,3.8